#i
An optimized crystal structure of CdCo2Sb, computed with GGA-PBE.

The space group is C2/m (No. 12) and the conventional cell measures 8.019, 3.076 and 5.500 Å, with angles of 90.00, 101.97 and 90.00 degrees. The inequivalent atoms are Cd at (0.000, 0.000, 0.000), Co at (0.245, 0.000, 0.706) and Sb at (0.000, 0.500, 0.500).


#ii
An optimized crystal structure of CdCo2Sb, computed with GGA-PBE.

The space group is Amm2 (No. 38) and the conventional cell measures 4.018, 3.461 and 9.518 Å, with angles of 90.00, 90.00 and 90.00 degrees. The inequivalent atoms are Cd at (0.000, 0.000, 0.000), Co at (0.000, 0.000, 0.718), Co at (0.500, 0.000, 0.581) and Sb at (0.500, 0.000, 0.294).


#iii
An optimized crystal structure of CdCo2Sb, computed with GGA-PBE.

The space group is Fm-3m (No. 225) and the conventional cell measures 6.259, 6.259 and 6.259 Å, with angles of 90.00, 90.00 and 90.00 degrees. The inequivalent atoms are Cd at (0.000, 0.000, 0.000), Co at (0.250, 0.250, 0.250) and Sb at (0.000, 0.000, 0.500).


Most stable structure: #iii


#i
An optimized crystal structure of ScCd2Co2, computed with GGA-PBE.

The space group is P4/mbm (No. 127) and the conventional cell measures 6.486, 6.486 and 4.014 Å, with angles of 90.00, 90.00 and 90.00 degrees. The inequivalent atoms are Sc at (0.000, 0.000, 0.000), Cd at (0.170, 0.330, 0.500) and Co at (0.125, 0.625, 0.000).


#ii
An optimized crystal structure of ScCd2Co2, computed with GGA-PBE.

The space group is I4/mmm (No. 139) and the conventional cell measures 3.264, 3.264 and 17.471 Å, with angles of 90.00, 90.00 and 90.00 degrees. The inequivalent atoms are Sc at (0.000, 0.000, 0.000), Cd at (0.000, 0.000, 0.379) and Co at (0.000, 0.500, 0.250).


Most stable structure: #i


#i
An optimized crystal structure of CdCo2SiSe, computed with GGA-PBE.

The space group is P4/mmm (No. 123) and the conventional cell measures 4.836, 4.836 and 4.805 Å, with angles of 90.00, 90.00 and 90.00 degrees. The inequivalent atoms are Cd at (0.000, 0.000, 0.000), Co at (0.000, 0.500, 0.000), Si at (0.000, 0.000, 0.500) and Se at (0.500, 0.500, 0.500).


#ii
An optimized crystal structure of CdCo2SiSe, computed with GGA-PBE.

The space group is P4/mmm (No. 123) and the conventional cell measures 4.291, 4.291 and 5.060 Å, with angles of 90.00, 90.00 and 90.00 degrees. The inequivalent atoms are Cd at (0.000, 0.000, 0.000), Co at (0.000, 0.500, 0.500), Si at (0.500, 0.500, 0.500) and Se at (0.500, 0.500, 0.000).


Most stable structure: #ii


#i
An optimized crystal structure of CdCoSi, computed with GGA-PBE.

The space group is P-6m2 (No. 187) and the conventional cell measures 3.8946, 3.8946 and 3.5888 Å, with angles of 90.00, 90.00 and 120.00 degrees. The inequivalent atoms are Cd at (0.0000, 0.0000, 0.0000), Co at (0.3333, 0.6667, 0.5000) and Si at (0.6667, 0.3333, 0.5000).


#ii
An optimized crystal structure of CdCoSi, computed with GGA-PBE.

The space group is F-43m (No. 216) and the conventional cell measures 5.809, 5.809 and 5.809 Å, with angles of 90.00, 90.00 and 90.00 degrees. The inequivalent atoms are Cd at (0.000, 0.000, 0.000), Co at (0.250, 0.250, 0.250) and Si at (0.000, 0.000, 0.500).


Most stable structure: #i


#i
An optimized crystal structure of Cd2CoSi2, computed with GGA-PBE.

The space group is I4/mmm (No. 139) and the conventional cell measures 4.172, 4.172 and 11.295 Å, with angles of 90.00, 90.00 and 90.00 degrees. The inequivalent atoms are Cd at (0.000, 0.500, 0.250), Co at (0.000, 0.000, 0.000) and Si at (0.000, 0.000, 0.402).


#ii
An optimized crystal structure of Cd2CoSi2, computed with GGA-PBE.

The space group is P4/mbm (No. 127) and the conventional cell measures 6.004, 6.004 and 4.692 Å, with angles of 90.00, 90.00 and 90.00 degrees. The inequivalent atoms are Cd at (0.189, 0.311, 0.000), Co at (0.000, 0.000, 0.500) and Si at (0.142, 0.642, 0.500).


Most stable structure: #ii


#i
An optimized crystal structure of Sm3CdCo, computed with GGA-PBE.

The space group is C2/m (No. 12) and the conventional cell measures 10.146, 6.630 and 9.061 Å, with angles of 90.00, 120.06 and 90.00 degrees. The inequivalent atoms are Sm at (0.059, 0.000, 0.243), Sm at (0.188, 0.500, 0.895), Sm at (0.198, 0.500, 0.293), Cd at (0.000, 0.287, 0.500) and Co at (0.000, 0.284, 0.000).


#ii
An optimized crystal structure of Sm3CdCo, computed with GGA-PBE.

The space group is Pm-3m (No. 221) and the conventional cell measures 5.261, 5.261 and 5.261 Å, with angles of 90.00, 90.00 and 90.00 degrees. The inequivalent atoms are Sm at (0.000, 0.000, 0.500), Cd at (0.500, 0.500, 0.500) and Co at (0.000, 0.000, 0.000).


#iii
An optimized crystal structure of Sm3CdCo, computed with GGA-PBE.

The space group is P2_1/m (No. 11) and the conventional cell measures 7.218, 4.793 and 8.316 Å, with angles of 90.00, 110.56 and 90.00 degrees. The inequivalent atoms are Sm at (0.059, 0.250, 0.263), Sm at (0.303, 0.250, 0.910), Sm at (0.339, 0.750, 0.588), Cd at (0.297, 0.750, 0.175) and Co at (0.071, 0.250, 0.589).


Most stable structure: #i


#i
An optimized crystal structure of Sm6CdCo2, computed with GGA-PBE.

The space group is C2/m (No. 12) and the conventional cell measures 10.254, 5.089 and 9.151 Å, with angles of 90.00, 102.30 and 90.00 degrees. The inequivalent atoms are Sm at (0.033, 0.000, 0.348), Sm at (0.164, 0.500, 0.876), Sm at (0.209, 0.500, 0.340), Cd at (0.000, 0.000, 0.000) and Co at (0.111, 0.500, 0.588).


#ii
An optimized crystal structure of Sm6CdCo2, computed with GGA-PBE.

The space group is Immm (No. 71) and the conventional cell measures 9.493, 9.920 and 10.137 Å, with angles of 90.00, 90.00 and 90.00 degrees. The inequivalent atoms are Sm at (0.000, 0.204, 0.234), Sm at (0.187, 0.500, 0.177), Sm at (0.215, 0.318, 0.500), Cd at (0.000, 0.000, 0.000), Cd at (0.000, 0.000, 0.500), Co at (0.000, 0.338, 0.000) and Co at (0.000, 0.500, 0.388).


Most stable structure: #ii


#i
An optimized crystal structure of TbSmCdCo, computed with GGA-PBE.

The space group is P4mm (No. 99) and the conventional cell measures 3.473, 3.473 and 7.739 Å, with angles of 90.00, 90.00 and 90.00 degrees. The inequivalent atoms are Tb at (0.000, 0.000, 0.000), Sm at (0.000, 0.000, 0.425), Cd at (0.500, 0.500, 0.719) and Co at (0.500, 0.500, 0.206).


#ii
An optimized crystal structure of TbSmCdCo, computed with GGA-PBE.

The space group is F-43m (No. 216) and the conventional cell measures 7.214, 7.214 and 7.214 Å, with angles of 90.00, 90.00 and 90.00 degrees. The inequivalent atoms are Tb at (0.000, 0.000, 0.000), Sm at (0.000, 0.000, 0.500), Cd at (0.250, 0.250, 0.750) and Co at (0.250, 0.250, 0.250).


Most stable structure: #i


#i
An optimized crystal structure of Sr2Cd2Co, computed with GGA-PBE.

The space group is P4/mbm (No. 127) and the conventional cell measures 8.116, 8.116 and 4.979 Å, with angles of 90.00, 90.00 and 90.00 degrees. The inequivalent atoms are Sr at (0.170, 0.330, 0.000), Cd at (0.135, 0.635, 0.500) and Co at (0.000, 0.000, 0.000).


#ii
An optimized crystal structure of Sr2Cd2Co, computed with GGA-PBE.

The space group is P4/mbm (No. 127) and the conventional cell measures 7.436, 7.436 and 5.210 Å, with angles of 90.00, 90.00 and 90.00 degrees. The inequivalent atoms are Sr at (0.178, 0.322, 0.000), Cd at (0.142, 0.642, 0.500) and Co at (0.000, 0.000, 0.500).


Most stable structure: #ii


#i
An optimized crystal structure of SrCd3Co, computed with GGA-PBE.

The space group is Pm-3m (No. 221) and the conventional cell measures 6.386, 6.386 and 6.386 Å, with angles of 90.00, 90.00 and 90.00 degrees. The inequivalent atoms are Sr at (0.000, 0.000, 0.000), Cd at (0.000, 0.000, 0.500) and Co at (0.500, 0.500, 0.500).


#ii
An optimized crystal structure of SrCd3Co, computed with GGA-PBE.

The space group is Pm-3m (No. 221) and the conventional cell measures 5.038, 5.038 and 5.038 Å, with angles of 90.00, 90.00 and 90.00 degrees. The inequivalent atoms are Sr at (0.000, 0.000, 0.000), Cd at (0.000, 0.500, 0.500) and Co at (0.500, 0.500, 0.500).


Most stable structure: #ii


#i
An optimized crystal structure of Ta2CdCo2, computed with GGA-PBE.

The space group is P4/mbm (No. 127) and the conventional cell measures 7.149, 7.149 and 2.998 Å, with angles of 90.00, 90.00 and 90.00 degrees. The inequivalent atoms are Ta at (0.164, 0.336, 0.000), Cd at (0.000, 0.000, 0.500) and Co at (0.128, 0.628, 0.500).


#ii
An optimized crystal structure of Ta2CdCo2, computed with GGA-PBE.

The space group is P4/mbm (No. 127) and the conventional cell measures 7.620, 7.620 and 2.753 Å, with angles of 90.00, 90.00 and 90.00 degrees. The inequivalent atoms are Ta at (0.143, 0.357, 0.000), Cd at (0.000, 0.000, 0.000) and Co at (0.146, 0.646, 0.500).


Most stable structure: #i


#i
An optimized crystal structure of TaCd2Co2, computed with GGA-PBE.

The space group is P4/mbm (No. 127) and the conventional cell measures 6.213, 6.213 and 4.257 Å, with angles of 90.00, 90.00 and 90.00 degrees. The inequivalent atoms are Ta at (0.000, 0.000, 0.000), Cd at (0.174, 0.326, 0.500) and Co at (0.128, 0.628, 0.000).


#ii
An optimized crystal structure of TaCd2Co2, computed with GGA-PBE.

The space group is P4/mbm (No. 127) and the conventional cell measures 7.520, 7.520 and 2.827 Å, with angles of 90.00, 90.00 and 90.00 degrees. The inequivalent atoms are Ta at (0.000, 0.000, 0.000), Cd at (0.128, 0.372, 0.000) and Co at (0.174, 0.674, 0.500).


Most stable structure: #i